VASP calculation (PBE-GGA) on an optimized crystal structure of NaSr2SnPt. Values from VASP.

Properties
E_tot = -3.41 eV per atom

The structure in Quantum ESPRESSO input format:
```
&SYSTEM
  ibrav = 0, nat = 5, ntyp = 4
/
ATOMIC_SPECIES
Na 22.99 Na.upf
Sr 87.62 Sr.upf
Sn 118.71 Sn.upf
Pt 195.08 Pt.upf
CELL_PARAMETERS angstrom
6.012 0.000 0.000
0.000 6.012 0.000
0.000 0.000 5.114
ATOMIC_POSITIONS angstrom
Na 0.000 0.000 0.000
Sr 0.000 3.006 2.557
Sr 3.006 0.000 2.557
Sn 3.006 3.006 0.000
Pt 3.006 3.006 2.557
```